LiCeSmAu | PBE | relaxed

Values from the calculation:
**Space group**: No. 216
**Mass density**: 8.18 g cm⁻³
**E_form**: -23 kJ per mole of atoms

The structure in POSCAR format:
```
LiCeSmAu
1.0
-2.5630 1.4043 -4.3213
-5.0222 -1.2835 -0.5874
-3.6798 3.6904 0.2329
Au Li Sm Ce
1 1 1 1
Direct
0.0000 0.0000 0.0000
0.5000 0.5000 0.5000
0.2500 0.2500 0.2500
0.7500 0.7500 0.7500
```

***

Mg2ZrHg | PBE | relaxed

Values from the calculation:
**Space group**: No. 122
**Mass density**: 6.05 g cm⁻³
**E_form**: 19 kJ per mole of atoms

The structure in POSCAR format:
```
Mg2ZrHg
1.0
7.9168 0.0000 0.0000
0.0000 7.9168 0.0000
3.9584 3.9584 2.9838
Hg Zr Mg
2 2 4
Direct
0.7500 0.2500 0.5000
0.0000 0.0000 0.0000
0.5000 0.5000 0.0000
0.2500 0.7500 0.5000
0.8750 0.9056 0.7500
0.6556 0.1250 0.2500
0.0944 0.6250 0.2500
0.3750 0.3444 0.7500
```

***

Which formula does entry 2 have? Mg2ZrHg